Record 1
VASP calculation (GGA-PBE) on an optimized crystal structure of Li5Be2Au12.

Unit cell a=5.7416 b=9.3590 c=7.4232 alpha=122.09 beta=90.00 gamma=107.86
Element x y z (fractional)
Li 0.2488 0.4975 0.5026
Li 0.2486 0.4972 0.9931
Li 0.0000 0.0000 0.5000
Li 0.7514 0.5028 0.0069
Li 0.7512 0.5025 0.4974
Be 0.6893 0.0000 0.0000
Be 0.3107 0.0000 0.0000
Au 0.0517 0.1034 0.2409
Au 0.0966 0.6912 0.8933
Au 0.5946 0.6912 0.8933
Au 0.1063 0.6970 0.3670
Au 0.5907 0.6970 0.3670
Au 0.5109 0.0217 0.7200
Au 0.4891 0.9783 0.2800
Au 0.8937 0.3030 0.6330
Au 0.4093 0.3030 0.6330
Au 0.9034 0.3088 0.1067
Au 0.4054 0.3088 0.1067
Au 0.9483 0.8966 0.7591

Energy: -3.2441 eV per atom
Size of the total moment: 0.0 μB/f.u.
E_form: -0.278 eV/atom

---

Record 2
VASP calculation (GGA-PBE) on an optimized crystal structure of LiBe2Au6.

Unit cell a=4.4369 b=5.0762 c=7.3218 alpha=80.02 beta=72.36 gamma=64.09
Element x y z (fractional)
Li 0.0000 0.5000 0.5000
Be 0.3245 0.5793 0.7717
Be 0.6755 0.4207 0.2283
Au 0.6925 0.6984 0.9167
Au 0.3075 0.3016 0.0833
Au 0.9564 0.8942 0.1931
Au 0.3713 0.8095 0.4479
Au 0.0436 0.1058 0.8069
Au 0.6287 0.1905 0.5521

Energy: -3.4077 eV per atom
Size of the total moment: 0.0 μB/f.u.
E_form: -0.182 eV/atom

---

Record 3
VASP calculation (GGA-PBE) on an optimized crystal structure of Li5Be2Au12.

Unit cell a=6.8007 b=7.5086 c=7.2630 alpha=121.13 beta=97.13 gamma=90.00
Element x y z (fractional)
Li 0.5833 0.2455 0.4909
Li 0.0433 0.3142 0.6285
Li 0.5000 0.0000 0.0000
Li 0.9567 0.6858 0.3715
Li 0.4167 0.7545 0.5091
Be 0.0000 0.7572 0.0000
Be 0.0000 0.2428 0.0000
Au 0.1344 0.9013 0.8026
Au 0.7703 0.0230 0.6712
Au 0.7703 0.6481 0.6712
Au 0.3931 0.1868 0.7765
Au 0.3931 0.5897 0.7765
Au 0.7861 0.4597 0.9195
Au 0.2139 0.5403 0.0805
Au 0.6069 0.8132 0.2235
Au 0.6069 0.4103 0.2235
Au 0.2297 0.9770 0.3288
Au 0.2297 0.3519 0.3288
Au 0.8656 0.0987 0.1974

Energy: -3.2892 eV per atom
Size of the total moment: 0.0 μB/f.u.
E_form: -0.323 eV/atom

---

Record 4
VASP calculation (GGA-PBE) on an optimized crystal structure of LiBe2Au.

Unit cell a=4.0173 b=4.0173 c=4.0173 alpha=60.00 beta=60.00 gamma=60.00
Element x y z (fractional)
Be 0.2500 0.2500 0.2500
Be 0.7500 0.7500 0.7500
Au 0.5000 0.5000 0.5000
Li 0.0000 0.0000 0.0000

Energy: -3.3674 eV per atom
Size of the total moment: 0.0 μB/f.u.
E_form: -0.206 eV/atom

---

Record 5
VASP calculation (GGA-PBE) on an optimized crystal structure of Li2BeAu3.

Unit cell a=4.2122 b=6.6613 c=6.5382 alpha=90.00 beta=90.00 gamma=71.57
Element x y z (fractional)
Li 0.0000 0.0000 0.0000
Li 0.0000 0.0000 0.5000
Li 0.3339 0.3321 0.5000
Li 0.6661 0.6679 0.5000
Be 0.3369 0.3262 0.0000
Be 0.6631 0.6738 0.0000
Au 0.8297 0.3406 0.7736
Au 0.5000 0.0000 0.2340
Au 0.1703 0.6594 0.2264
Au 0.8297 0.3406 0.2264
Au 0.1703 0.6594 0.7736
Au 0.5000 0.0000 0.7660

Energy: -3.2905 eV per atom
Size of the total moment: 0.0 μB/f.u.
E_form: -0.393 eV/atom

---

Record 6
VASP calculation (GGA-PBE) on an optimized crystal structure of LiBe4Au8.

Unit cell a=5.3734 b=6.6777 c=6.6777 alpha=80.68 beta=66.28 gamma=66.28
Element x y z (fractional)
Li 0.0000 0.0000 0.0000
Be 0.0000 0.0000 0.5000
Be 0.5000 0.0000 0.5000
Be 0.0000 0.5000 0.0000
Be 0.5000 0.5000 0.0000
Au 0.0000 0.3037 0.6963
Au 0.0000 0.6963 0.3037
Au 0.3037 0.6963 0.6963
Au 0.6963 0.3037 0.3037
Au 0.5000 0.7697 0.2303
Au 0.5000 0.2303 0.7697
Au 0.2697 0.2303 0.2303
Au 0.7303 0.7697 0.7697

Energy: -3.4752 eV per atom
Size of the total moment: 0.0 μB/f.u.
E_form: -0.165 eV/atom

---

Record 7
VASP calculation (GGA-PBE) on an optimized crystal structure of LiBe2Au7.

Unit cell a=4.0612 b=4.0612 c=10.3285 alpha=101.34 beta=101.34 gamma=90.00
Element x y z (fractional)
Li 0.0000 0.0000 0.0000
Be 0.6760 0.6760 0.3520
Be 0.3240 0.3240 0.6480
Au 0.1050 0.6050 0.2101
Au 0.3950 0.8950 0.7899
Au 0.6050 0.1050 0.2101
Au 0.5000 0.5000 0.0000
Au 0.7500 0.2500 0.5000
Au 0.8950 0.3950 0.7899
Au 0.2500 0.7500 0.5000

Energy: -3.4419 eV per atom
Size of the total moment: 0.0 μB/f.u.
E_form: -0.211 eV/atom

---

Record 8
VASP calculation (GGA-PBE) on an optimized crystal structure of Li5BeAu6.

Unit cell a=4.3890 b=6.1384 c=7.6670 alpha=66.39 beta=71.74 gamma=90.00
Element x y z (fractional)
Be 0.0000 0.0000 0.0000
Au 0.8185 0.5987 0.3177
Au 0.8185 0.0837 0.3177
Au 0.5000 0.7626 0.0000
Au 0.5000 0.2374 0.0000
Au 0.1815 0.9163 0.6823
Au 0.1815 0.4013 0.6823
Li 0.6947 0.1733 0.6535
Li 0.3126 0.3326 0.3351
Li 0.0000 0.5000 0.0000
Li 0.6874 0.6674 0.6649
Li 0.3053 0.8267 0.3465

Energy: -3.2159 eV per atom
Size of the total moment: 0.0 μB/f.u.
E_form: -0.469 eV/atom

---

Record 9
VASP calculation (GGA-PBE) on an optimized crystal structure of LiBe4Au.

Unit cell a=4.3837 b=4.3837 c=4.3837 alpha=60.00 beta=60.00 gamma=60.00
Element x y z (fractional)
Au 0.0000 0.0000 0.0000
Be 0.1244 0.6252 0.6252
Be 0.6252 0.6252 0.6252
Be 0.6252 0.1244 0.6252
Be 0.6252 0.6252 0.1244
Li 0.2500 0.2500 0.2500

Energy: -3.6065 eV per atom
Size of the total moment: 0.0 μB/f.u.
E_form: -0.257 eV/atom

---

Record 10
VASP calculation (GGA-PBE) on an optimized crystal structure of LiBe2Au.

Unit cell a=8.3803 b=8.3803 c=8.3803 alpha=19.02 beta=19.02 gamma=19.02
Element x y z (fractional)
Au 0.7500 0.7500 0.7500
Be 0.0031 0.0031 0.0031
Be 0.4969 0.4969 0.4969
Li 0.2500 0.2500 0.2500

Energy: -2.8747 eV per atom
Size of the total moment: 0.0 μB/f.u.
E_form: 0.286 eV/atom

---

Record 11
VASP calculation (GGA-PBE) on an optimized crystal structure of LiBe2Au.

Unit cell a=4.4963 b=4.4963 c=4.4963 alpha=133.97 beta=133.97 gamma=67.14
Element x y z (fractional)
Au 0.7500 0.2500 0.5000
Be 0.0000 0.0000 0.0000
Be 0.2500 0.7500 0.5000
Li 0.5000 0.5000 0.0000

Energy: -3.2582 eV per atom
Size of the total moment: 0.0 μB/f.u.
E_form: -0.097 eV/atom

---

Record 12
VASP calculation (GGA-PBE) on an optimized crystal structure of LiBe3Au6.

Unit cell a=5.5644 b=5.5785 c=6.6049 alpha=89.37 beta=110.99 gamma=119.60
Element x y z (fractional)
Li 0.9461 0.9794 0.8934
Be 0.6037 0.3553 0.9706
Be 0.3620 0.6337 0.9785
Be 0.1816 0.0650 0.3439
Au 0.2939 0.4091 0.6321
Au 0.1250 0.6463 0.2254
Au 0.7211 0.0615 0.2343
Au 0.3469 0.9306 0.7035
Au 0.8563 0.4409 0.7320
Au 0.5635 0.4781 0.2864

Energy: -3.4370 eV per atom
Size of the total moment: 0.0 μB/f.u.
E_form: -0.161 eV/atom